# 1
A relaxed SrTaBr2 crystal. Source: Alexandria via LeMat-Bulk, functional PBEsol.

Unit cell a=4.182 b=4.182 c=6.660 alpha=108.30 beta=108.30 gamma=90.00
Site moments in Bohr magnetons follow the coordinates.
Fractional positions:
Ta1 0.250 0.750 0.500  1.95
Br1 0.750 0.250 0.500  0.03
Br2 0.000 0.000 0.000  0.04
Sr1 0.500 0.500 0.000  0.08

Properties
Uncorrected energy in eV/atom: -4.4027
Space-group type: I-4m2 (119)
N(E_F) in states/eV/cell: 3.57
E_form (uncorrected) in eV/atom: 0.1302

=====

# 2
A relaxed BaFeW3 crystal. Source: Alexandria via LeMat-Bulk, functional PBEsol.

Unit cell a=4.638 b=4.638 c=4.638 alpha=90.00 beta=90.00 gamma=90.00
Site moments in Bohr magnetons follow the coordinates.
Fractional positions:
Fe1 0.000 0.000 0.000  0.01
W1 0.500 0.000 0.000  0.19
W2 0.000 0.500 0.000  0.19
W3 0.000 0.000 0.500  0.19
Ba1 0.500 0.500 0.500  0.04

Properties
Uncorrected energy in eV/atom: -8.9059
Formation energy in meV/atom: 1601
Space-group type: Pm-3m (221)
N(E_F) in states/eV/cell: 6.91

=====

# 3
A relaxed ScCd2Pt crystal. Source: Alexandria via LeMat-Bulk, functional PBEsol.

Unit cell a=2.950 b=4.902 c=5.879 alpha=113.76 beta=103.15 gamma=93.22
Fractional positions:
Sc1 0.000 0.500 0.000
Pt1 0.500 0.000 0.000
Cd1 0.000 0.000 0.500
Cd2 0.500 0.500 0.500

Properties
Uncorrected energy in eV/atom: -4.3026
Formation energy in meV/atom: -312
Space-group type: C2/m (12)
N(E_F) in states/eV/cell: 2.43

=====

# 4
A relaxed ReSe2Cl12 crystal. Source: Alexandria via LeMat-Bulk, functional PBEsol.

Unit cell a=8.626 b=8.626 c=12.161 alpha=109.36 beta=109.36 gamma=93.75
Site moments in Bohr magnetons follow the coordinates.
Fractional positions:
Cl1 0.192 0.353 0.315  0.06
Cl2 0.855 0.512 0.148  0.02
Cl3 0.969 0.812 0.005  0.04
Cl4 0.123 0.962 0.315  0.06
Cl5 0.295 0.097 0.660  0.06
Cl6 0.293 0.636 0.148  0.02
Cl7 0.762 0.605 0.648  0.02
Cl8 0.523 0.719 0.002  0.02
Cl9 0.532 0.228 0.502  0.02
Cl10 0.135 0.477 0.840  0.02
Cl11 0.705 0.363 0.840  0.02
Cl12 0.969 0.273 0.502  0.02
Cl13 0.478 0.282 0.002  0.02
Cl14 0.036 0.192 0.005  0.04
Cl15 0.442 0.786 0.505  0.04
Cl16 0.603 0.942 0.815  0.06
Cl17 0.813 0.115 0.160  0.06
Cl18 0.727 0.885 0.340  0.02
Cl19 0.347 0.045 0.160  0.06
Cl20 0.365 0.563 0.660  0.06
Cl21 0.886 0.043 0.648  0.02
Cl22 0.062 0.719 0.505  0.04
Cl23 0.212 0.873 0.815  0.06
Cl24 0.613 0.455 0.340  0.02
Se1 0.521 0.478 0.493  0.03
Se2 0.972 0.015 0.493  0.03
Se3 0.728 0.271 0.993  0.03
Se4 0.265 0.722 0.993  0.03
Re1 0.082 0.082 0.163  2.02
Re2 0.332 0.832 0.663  2.02

Properties
Uncorrected energy in eV/atom: -3.4396
Space-group type: Fdd2 (43)
E_form (uncorrected) in eV/atom: -0.4311

=====

# 5
A relaxed Cs2P3 crystal. Source: Alexandria via LeMat-Bulk, functional PBEsol.

Unit cell a=6.794 b=6.794 c=8.821 alpha=111.35 beta=111.35 gamma=93.12
Fractional positions:
Cs1 0.250 0.750 0.500
Cs2 0.283 0.717 0.000
Cs3 0.750 0.250 0.500
Cs4 0.717 0.283 0.000
P1 0.271 0.271 0.144
P2 0.873 0.873 0.144
P3 0.145 0.145 0.289
P4 0.729 0.729 0.856
P5 0.855 0.855 0.711
P6 0.127 0.127 0.856

Properties
Uncorrected energy in eV/atom: -4.3203
Formation energy in meV/atom: -469
Space-group type: Fmmm (69)

=====

# 6
A relaxed Be2Mo2Au crystal. Source: Alexandria via LeMat-Bulk, functional PBEsol.

Unit cell a=3.406 b=6.021 c=6.021 alpha=90.00 beta=90.00 gamma=90.00
Fractional positions:
Mo1 0.500 0.173 0.673
Mo2 0.500 0.827 0.327
Mo3 0.500 0.327 0.173
Mo4 0.500 0.673 0.827
Au1 0.000 0.000 0.000
Au2 0.000 0.500 0.500
Be1 0.000 0.120 0.380
Be2 0.000 0.380 0.880
Be3 0.000 0.880 0.620
Be4 0.000 0.620 0.120

Properties
Uncorrected energy in eV/atom: -7.1308
Formation energy in meV/atom: -39
Space-group type: P4/mbm (127)
N(E_F) in states/eV/cell: 6.55

=====

# 7
A relaxed Sc4ZnSe crystal. Source: Alexandria via LeMat-Bulk, functional PBEsol.

Unit cell a=5.657 b=5.657 c=5.657 alpha=60.00 beta=60.00 gamma=60.00
Fractional positions:
Sc1 0.878 0.374 0.374
Sc2 0.374 0.374 0.878
Sc3 0.374 0.374 0.374
Sc4 0.374 0.878 0.374
Se1 0.750 0.750 0.750
Zn1 0.000 0.000 0.000

Properties
Uncorrected energy in eV/atom: -5.1190
Space-group type: F-43m (216)
N(E_F) in states/eV/cell: 8.71
E_form (uncorrected) in eV/atom: 0.1898

=====

# 8
A relaxed LaTl2Cl crystal. Source: Alexandria via LeMat-Bulk, functional PBEsol.

Unit cell a=3.569 b=3.569 c=9.892 alpha=90.00 beta=90.00 gamma=117.68
Fractional positions:
Cl1 0.500 0.500 0.500
Tl1 0.000 0.000 0.273
Tl2 0.000 0.000 0.727
La1 0.500 0.500 0.000

Properties
Uncorrected energy in eV/atom: -3.4777
Space-group type: Cmmm (65)
N(E_F) in states/eV/cell: 3.13
E_form (uncorrected) in eV/atom: -0.3241

=====

# 9
A relaxed Ta2SiPdO crystal. Source: Alexandria via LeMat-Bulk, functional PBEsol.

Unit cell a=3.285 b=4.916 c=4.916 alpha=90.00 beta=90.00 gamma=90.00
Fractional positions:
Pd1 0.500 0.500 0.500
Si1 0.000 0.000 0.000
O1 0.500 0.000 0.000
Ta1 0.000 0.000 0.500
Ta2 0.000 0.500 0.000

Properties
Uncorrected energy in eV/atom: -8.0964
Space-group type: P4/mmm (123)
N(E_F) in states/eV/cell: 2.23
E_form (uncorrected) in eV/atom: 0.3150

=====

# 10
A relaxed BeFeMo crystal. Source: Alexandria via LeMat-Bulk, functional PBEsol.

Unit cell a=2.779 b=2.779 c=4.686 alpha=107.25 beta=107.25 gamma=90.00
Fractional positions:
Mo1 0.670 0.670 0.340
Be1 0.980 0.980 0.959
Fe1 0.350 0.350 0.700

Properties
Uncorrected energy in eV/atom: -8.2793
Formation energy in meV/atom: -36
Space-group type: I4mm (107)
N(E_F) in states/eV/cell: 2.37

=====

# 11
A relaxed SrSiTe2 crystal. Source: Alexandria via LeMat-Bulk, functional PBEsol.

Unit cell a=4.419 b=4.419 c=6.500 alpha=90.00 beta=90.00 gamma=90.00
Fractional positions:
Te1 0.000 0.000 0.928
Te2 0.500 0.500 0.369
Si1 0.000 0.000 0.336
Sr1 0.500 0.500 0.868

Properties
Uncorrected energy in eV/atom: -4.2880
Space-group type: P4mm (99)
E_form (uncorrected) in eV/atom: -0.6282

=====

# 12
A relaxed MnBr crystal. Source: Alexandria via LeMat-Bulk, functional PBEsol.

Unit cell a=3.294 b=3.294 c=3.294 alpha=90.00 beta=90.00 gamma=90.00
Site moments in Bohr magnetons follow the coordinates.
Fractional positions:
Br1 0.000 0.000 0.000  0.11
Mn1 0.500 0.500 0.500  3.75

Properties
Uncorrected energy in eV/atom: -5.4451
Space-group type: Pm-3m (221)
N(E_F) in states/eV/cell: 0.60
E_form (uncorrected) in eV/atom: 0.3704

=====

# 13
A relaxed YMg2Hg crystal. Source: Alexandria via LeMat-Bulk, functional PBEsol.

Unit cell a=4.163 b=4.592 c=4.845 alpha=90.00 beta=90.00 gamma=90.00
Fractional positions:
Y1 0.500 0.000 0.500
Mg1 0.500 0.500 0.000
Mg2 0.000 0.000 0.000
Hg1 0.000 0.500 0.500

Properties
Uncorrected energy in eV/atom: -3.0064
Formation energy in meV/atom: -301
Space-group type: Pmmm (47)
N(E_F) in states/eV/cell: 2.53

=====

# 14
A relaxed KTeAu2 crystal. Source: Alexandria via LeMat-Bulk, functional PBEsol.

Unit cell a=3.578 b=5.613 c=6.162 alpha=117.10 beta=106.88 gamma=90.00
Fractional positions:
Au1 0.001 0.001 0.002
Au2 0.691 0.191 0.381
Te1 0.304 0.804 0.609
K1 0.504 0.504 0.008

Properties
Uncorrected energy in eV/atom: -3.1725
Space-group type: Imm2 (44)
N(E_F) in states/eV/cell: 2.72
E_form (uncorrected) in eV/atom: -0.0457

=====

# 15
A relaxed Mn2IrRu crystal. Source: Alexandria via LeMat-Bulk, functional PBEsol.

Unit cell a=3.688 b=3.688 c=4.441 alpha=114.53 beta=114.53 gamma=90.00
Site moments in Bohr magnetons follow the coordinates.
Fractional positions:
Mn1 0.250 0.750 0.500  1.05
Mn2 0.750 0.250 0.500  1.05
Ir1 0.000 0.000 0.000  -0.14
Ru1 0.500 0.500 0.000  -0.24

Properties
Uncorrected energy in eV/atom: -9.8932
Formation energy in meV/atom: -14
Space-group type: I4/mmm (139)
N(E_F) in states/eV/cell: 4.46

=====

# 16
A relaxed Te6Mo2W crystal. Source: Alexandria via LeMat-Bulk, functional PBEsol.

Unit cell a=3.492 b=3.492 c=21.884 alpha=90.00 beta=90.00 gamma=120.00
Fractional positions:
Te1 0.667 0.333 0.252
Te2 0.667 0.333 0.418
Te3 0.000 0.000 0.571
Te4 0.000 0.000 0.736
Te5 0.667 0.333 0.053
Te6 0.667 0.333 0.888
Mo1 0.667 0.333 0.653
Mo2 0.000 0.000 0.971
W1 0.000 0.000 0.335

Properties
Uncorrected energy in eV/atom: -6.7112
Space-group type: P3m1 (156)
E_form (uncorrected) in eV/atom: -0.2112

=====

# 17
A relaxed Sc2HgGe crystal. Source: Alexandria via LeMat-Bulk, functional PBEsol.

Unit cell a=3.780 b=3.780 c=8.984 alpha=77.86 beta=77.86 gamma=60.00
Fractional positions:
Ge1 0.500 0.500 0.500
Sc1 0.888 0.888 0.334
Sc2 0.112 0.112 0.666
Hg1 0.000 0.000 0.000

Properties
Uncorrected energy in eV/atom: -4.8280
Formation energy in meV/atom: -149
Space-group type: R-3m (166)
N(E_F) in states/eV/cell: 4.35

=====

# 18
A relaxed ScTa2Co crystal. Source: Alexandria via LeMat-Bulk, functional PBEsol.

Unit cell a=4.498 b=4.498 c=4.498 alpha=60.00 beta=60.00 gamma=60.00
Site moments in Bohr magnetons follow the coordinates.
Fractional positions:
Ta1 0.250 0.250 0.250  -0.01
Ta2 0.000 0.000 0.000  0.11
Co1 0.500 0.500 0.500  0.37
Sc1 0.750 0.750 0.750  0.00

Properties
Uncorrected energy in eV/atom: -9.7067
Formation energy in meV/atom: 154
Space-group type: F-43m (216)
N(E_F) in states/eV/cell: 5.98

=====

# 19
A relaxed Na3Cd crystal. Source: Alexandria via LeMat-Bulk, functional PBEsol.

Unit cell a=5.538 b=6.908 c=6.908 alpha=120.00 beta=90.00 gamma=90.00
Fractional positions:
Na1 0.750 0.826 0.653
Na2 0.750 0.826 0.174
Na3 0.750 0.347 0.174
Na4 0.250 0.174 0.826
Na5 0.250 0.653 0.826
Na6 0.250 0.174 0.347
Cd1 0.250 0.667 0.333
Cd2 0.750 0.333 0.667

Properties
Uncorrected energy in eV/atom: -1.3635
Formation energy in meV/atom: -14
Space-group type: P6_3/mmc (194)
N(E_F) in states/eV/cell: 3.30

=====

# 20
A relaxed Ni3Mo crystal. Source: Alexandria via LeMat-Bulk, functional PBEsol.

Unit cell a=2.566 b=3.592 c=4.998 alpha=90.00 beta=90.00 gamma=90.00
Fractional positions:
Mo1 0.000 0.000 0.000
Ni1 0.500 0.500 0.742
Ni2 0.500 0.500 0.258
Ni3 0.000 0.000 0.500

Properties
Uncorrected energy in eV/atom: -7.5922
Formation energy in meV/atom: -32
Space-group type: Pmmm (47)
N(E_F) in states/eV/cell: 4.02

=====

# 21
A relaxed HgTeN2F crystal. Source: Alexandria via LeMat-Bulk, functional PBEsol.

Unit cell a=4.221 b=4.221 c=4.220 alpha=90.00 beta=90.00 gamma=90.00
Fractional positions:
F1 0.000 0.000 0.500
Te1 0.500 0.500 0.500
N1 0.000 0.500 0.000
N2 0.500 0.000 0.000
Hg1 0.000 0.000 0.000

Properties
Uncorrected energy in eV/atom: -3.3389
Space-group type: P4/mmm (123)
N(E_F) in states/eV/cell: 2.55
E_form (uncorrected) in eV/atom: 1.2758

=====

# 22
A relaxed MgGa2O4 crystal. Source: Alexandria via LeMat-Bulk, functional PBEsol.

Unit cell a=5.886 b=5.886 c=5.886 alpha=60.16 beta=60.16 gamma=60.16
Fractional positions:
O1 0.273 0.746 0.746
O2 0.746 0.746 0.273
O3 0.255 0.255 0.718
O4 0.258 0.258 0.258
O5 0.718 0.255 0.255
O6 0.746 0.273 0.746
O7 0.745 0.745 0.745
O8 0.255 0.718 0.255
Mg1 0.121 0.121 0.121
Mg2 0.498 0.498 0.498
Ga1 0.497 0.497 0.010
Ga2 0.010 0.497 0.497
Ga3 0.880 0.880 0.880
Ga4 0.497 0.010 0.497

Properties
Uncorrected energy in eV/atom: -6.3634
Space-group type: R3m (160)
N(E_F) in states/eV/cell: 0.00
E_form (uncorrected) in eV/atom: -2.1643

=====

# 23
A relaxed MnAlF5 crystal. Source: Alexandria via LeMat-Bulk, functional PBEsol.

Unit cell a=3.596 b=5.228 c=5.228 alpha=73.62 beta=69.88 gamma=69.88
Site moments in Bohr magnetons follow the coordinates.
Fractional positions:
F1 0.500 0.792 0.208  0.04
F2 0.736 0.264 0.264  0.04
F3 0.000 0.500 0.500  0.01
F4 0.264 0.736 0.736  0.04
F5 0.500 0.208 0.792  0.04
Mn1 0.000 0.000 0.000  4.58
Al1 0.500 0.500 0.500  0.01

Properties
Uncorrected energy in eV/atom: -6.3502
Space-group type: Immm (71)
N(E_F) in states/eV/cell: 0.00
E_form (uncorrected) in eV/atom: -2.9945

=====

# 24
A relaxed SnMoH2 crystal. Source: Alexandria via LeMat-Bulk, functional PBEsol.

Unit cell a=4.874 b=4.874 c=4.874 alpha=108.21 beta=108.21 gamma=112.02
Fractional positions:
Mo1 0.750 0.250 0.500
Mo2 0.500 0.500 0.000
H1 0.783 0.375 0.908
H2 0.467 0.875 0.092
H3 0.625 0.533 0.408
H4 0.125 0.217 0.592
Sn1 0.000 0.000 0.000
Sn2 0.250 0.750 0.500

Properties
Uncorrected energy in eV/atom: -5.4282
Space-group type: I-42d (122)
N(E_F) in states/eV/cell: 3.82

=====

# 25
A relaxed TlAsP crystal. Source: Alexandria via LeMat-Bulk, functional PBEsol.

Unit cell a=3.417 b=3.417 c=6.754 alpha=90.00 beta=90.00 gamma=120.00
Fractional positions:
Tl1 0.333 0.667 0.345
As1 0.000 0.000 0.928
P1 0.667 0.333 0.727

Properties
Uncorrected energy in eV/atom: -4.4513
Formation energy in meV/atom: 58
Space-group type: P3m1 (156)
N(E_F) in states/eV/cell: 1.09

=====

# 26
A relaxed TaSCl2 crystal. Source: Alexandria via LeMat-Bulk, functional PBEsol.

Unit cell a=3.004 b=3.004 c=10.555 alpha=81.82 beta=81.82 gamma=60.00
Fractional positions:
S1 0.000 0.000 0.000
Cl1 0.891 0.891 0.327
Cl2 0.109 0.109 0.673
Ta1 0.500 0.500 0.500

Properties
Uncorrected energy in eV/atom: -5.5410
Space-group type: R-3m (166)
N(E_F) in states/eV/cell: 2.85
E_form (uncorrected) in eV/atom: -0.3033

=====

# 27
A relaxed MnPt2W crystal. Source: Alexandria via LeMat-Bulk, functional PBEsol.

Unit cell a=2.750 b=2.750 c=7.748 alpha=90.00 beta=90.00 gamma=90.00
Site moments in Bohr magnetons follow the coordinates.
Fractional positions:
Pt1 0.000 0.000 0.747  0.13
Pt2 0.000 0.000 0.253  0.13
W1 0.500 0.500 0.000  -0.01
Mn1 0.500 0.500 0.500  3.63

Properties
Uncorrected energy in eV/atom: -9.6109
Formation energy in meV/atom: -237
Space-group type: P4/mmm (123)
N(E_F) in states/eV/cell: 2.06